RbCrBrF2 after structural relaxation. Source: Alexandria, functional PBE with a Hubbard U.

Its total moment is 4.000 μB per formula unit. Its calculated total energy is -4.8509 eV/atom.

The space group is P4/mmm (No. 123) and the conventional cell measures 4.3696, 4.3696 and 5.6301 Å, with angles of 90.00, 90.00 and 90.00 degrees. Symmetry generates all atoms from Rb at (0.0000, 0.0000, 0.0000), Cr at (0.5000, 0.5000, 0.5000), Br at (0.5000, 0.5000, 0.0000) and F at (0.0000, 0.5000, 0.5000).